No. 1
First-principles (PBE) data for a relaxed LiAs2RuO8 crystal, as listed in Alexandria.

The structure in POSCAR format:
```
LiAs2RuO8
1.0
5.625 0.137 0.000
-2.372 5.102 0.000
-1.626 -2.620 4.706
As O Li Ru
2 8 1 1
direct
0.750 0.250 0.500
0.500 0.500 0.000
0.313 0.508 0.195
0.743 0.056 0.687
0.369 0.056 0.313
0.944 0.631 0.687
0.313 0.118 0.805
0.882 0.687 0.195
0.492 0.687 0.805
0.944 0.257 0.313
0.000 0.000 0.000
0.250 0.750 0.500
```

Results
Space group   I-4m2
E_form (uncorrected)   -0.88 eV per atom


No. 2
First-principles (PBE) data for a relaxed AcYScTl crystal, as listed in Alexandria.

The structure in POSCAR format:
```
AcYScTl
1.0
5.521 0.000 0.000
2.760 4.781 0.000
2.760 1.594 4.508
Y Sc Ac Tl
1 1 1 1
direct
0.750 0.750 0.750
0.250 0.250 0.250
0.500 0.500 0.500
0.000 0.000 0.000
```

Results
E_form   0.066 eV/atom
Space group   F-43m


No. 3
First-principles (PBE) data for a relaxed VCu2ReRh crystal, as listed in Alexandria.

The structure in POSCAR format:
```
VCu2ReRh
1.0
4.494 0.000 0.000
0.000 4.304 0.000
0.000 0.000 4.494
V Cu Rh Re
1 2 1 1
direct
0.000 0.500 0.000
0.000 0.000 0.500
0.500 0.000 0.000
0.000 0.000 0.000
0.500 0.500 0.500
```

Results
E_form   1.634 eV/atom
Space group   P4/mmm


Results for mass density: 4.691 7.888 8.922 (in g/cm3, following the order of the records).
Results for V: 137 119 87 (in Å³/cell, following the order of the records).